No. 1
Below is a relaxed Sm3PuN4 crystal, with properties calculated at the PBE-GGA level.

a b c (Å): 6.1457 7.0998 6.1523
angles (deg): 90.00 109.56 90.00
Closest atoms and distances in Å follow each position.
Atoms (fractional coordinates):
Sm: 0.0000 0.1240 0.2500  6 N 2.49-2.60
Sm: 0.0000 0.3744 0.7500  6 N 2.50-2.62
Sm: 0.0000 0.6256 0.2500  6 N 2.50-2.62
Sm: 0.0000 0.8760 0.7500  6 N 2.49-2.60
Sm: 0.5000 0.1243 0.7500  6 N 2.51-2.54
Sm: 0.5000 0.8757 0.2500  6 N 2.51-2.54
Pu: 0.5000 0.3748 0.2500  6 N 2.41-2.43
Pu: 0.5000 0.6252 0.7500  6 N 2.41-2.43
N: 0.2553 0.1340 0.0099  1 Pu 2.42, 5 Sm 2.49-2.59
N: 0.2553 0.8660 0.5099  1 Pu 2.42, 5 Sm 2.49-2.59
N: 0.2681 0.3842 0.4970  2 Pu 2.41-2.43, 4 Sm 2.51-2.62
N: 0.2681 0.6158 0.9970  2 Pu 2.41-2.43, 4 Sm 2.51-2.62
N: 0.7319 0.3842 0.0030  2 Pu 2.41-2.43, 4 Sm 2.51-2.62
N: 0.7319 0.6158 0.5030  2 Pu 2.41-2.43, 4 Sm 2.51-2.62
N: 0.7447 0.1340 0.4901  1 Pu 2.42, 5 Sm 2.49-2.59
N: 0.7447 0.8660 0.9901  1 Pu 2.42, 5 Sm 2.49-2.59

Output
energy above the most stable polymorph in this dataset = 0.000 eV/atom
energy relative to the elements, uncorrected = -1432 meV/atom
SG = No. 13
uncorrected energy = -9.16 eV/atom

No. 2
Below is a relaxed SrZnCdGe crystal, with properties calculated at the PBE-GGA level.

a b c (Å): 7.2456 7.2456 7.2456
angles (deg): 90.00 90.00 90.00
Closest atoms and distances in Å follow each position.
Atoms (fractional coordinates):
Sr: 0.0000 0.0000 0.0000  4 Ge 3.14, 4 Zn 3.14
Sr: 0.0000 0.5000 0.5000  4 Ge 3.14, 4 Zn 3.14
Sr: 0.5000 0.0000 0.5000  4 Ge 3.14, 4 Zn 3.14
Sr: 0.5000 0.5000 0.0000  4 Ge 3.14, 4 Zn 3.14
Zn: 0.2500 0.2500 0.2500  4 Cd 3.14, 4 Sr 3.14
Zn: 0.2500 0.7500 0.7500  4 Cd 3.14, 4 Sr 3.14
Zn: 0.7500 0.2500 0.7500  4 Cd 3.14, 4 Sr 3.14
Zn: 0.7500 0.7500 0.2500  4 Cd 3.14, 4 Sr 3.14
Cd: 0.0000 0.0000 0.5000  4 Ge 3.14, 4 Zn 3.14
Cd: 0.0000 0.5000 0.0000  4 Ge 3.14, 4 Zn 3.14
Cd: 0.5000 0.0000 0.0000  4 Ge 3.14, 4 Zn 3.14
Cd: 0.5000 0.5000 0.5000  4 Ge 3.14, 4 Zn 3.14
Ge: 0.2500 0.2500 0.7500  4 Cd 3.14, 4 Sr 3.14
Ge: 0.2500 0.7500 0.2500  4 Cd 3.14, 4 Sr 3.14
Ge: 0.7500 0.2500 0.2500  4 Cd 3.14, 4 Sr 3.14
Ge: 0.7500 0.7500 0.7500  4 Sr 3.14, 4 Cd 3.14

Output
SG = No. 216
uncorrected energy = -2.31 eV/atom

No. 3
Below is a relaxed Si3AgSe crystal, with properties calculated at the PBE-GGA level.

a b c (Å): 4.8573 4.8573 4.8573
angles (deg): 90.00 90.00 90.00
Closest atoms and distances in Å follow each position.
Atoms (fractional coordinates):
Si: 0.0000 0.0000 0.5000  2 Ag 2.43
Si: 0.0000 0.5000 0.0000  2 Ag 2.43
Si: 0.5000 0.0000 0.0000  2 Ag 2.43
Ag: 0.0000 0.0000 0.0000  6 Si 2.43
Se: 0.5000 0.5000 0.5000  12 Si 3.43

Output
energy above the most stable polymorph in this dataset = 0.000 eV/atom
energy relative to the elements, uncorrected = 1014 meV/atom
SG = No. 221
uncorrected energy = -3.51 eV/atom

no.,calculated density (g/cm³)
1,9.86
2,5.90
3,3.93